[1]
This record from the Alexandria database describes a relaxed HfAgBr2 crystal. The functional is PBE.

Geometry as extended XYZ:
```
4
Lattice="0.0000 3.4829 3.4829 3.4829 0.0000 3.4829 3.4829 3.4829 0.0000" Properties=species:S:1:pos:R:3 pbc="T T T"
Ag 0.0000 0.0000 0.0000
Br 1.7415 1.7415 1.7415
Br 5.2244 5.2244 5.2244
Hf 3.4829 3.4829 3.4829
```

Output
Raw formation energy ... 0.113 eV/atom
Energy above the most stable polymorph in this dataset ... 299.1 meV/atom
Space-group type ... Fm-3m, No. 225

[2]
This record from the Alexandria database describes a relaxed PtCl3 crystal. The functional is PBE.

Geometry as extended XYZ:
```
4
Lattice="4.3069 0.0000 0.0000 0.0000 4.3069 0.0000 0.0000 0.0000 4.3069" Properties=species:S:1:pos:R:3 pbc="T T T"
Cl 2.1535 0.0000 2.1535
Cl 0.0000 2.1535 2.1535
Cl 2.1535 2.1535 0.0000
Pt 0.0000 0.0000 0.0000
```

Output
Raw formation energy ... 0.996 eV/atom
Space-group type ... Pm-3m, No. 221

[3]
This record from the Alexandria database describes a relaxed NaSiBr4 crystal. The functional is PBE.

Geometry as extended XYZ:
```
6
Lattice="-2.6198 -5.0778 -3.7075 -3.0816 -2.4639 5.5521 -1.5285 6.8177 -2.0007" Properties=species:S:1:pos:R:3 pbc="T T T"
Na -3.4995 -1.0155 -2.3930
Br -3.9465 -2.3792 2.5574
Br -3.9060 -3.6659 -1.2425
Br -4.4947 0.7658 -0.3072
Br -2.1126 3.8312 -1.3199
Si -2.8507 -3.7709 0.9223
```

Output
Raw formation energy ... -0.753 eV/atom
Space-group type ... I-4, No. 82

[4]
This record from the Alexandria database describes a relaxed CaSmInSn crystal. The functional is PBE.

Geometry as extended XYZ:
```
4
Lattice="5.4317 0.0000 0.0000 2.7159 4.7040 0.0000 2.7159 1.5680 4.4350" Properties=species:S:1:pos:R:3 pbc="T T T"
Ca 2.7159 1.5680 1.1087
In 5.4317 3.1360 2.2175
Sn 0.0000 0.0000 0.0000
Sm 8.1476 4.7040 3.3262
```

Output
Energy of formation ... -0.521 eV per atom
Space-group type ... F-43m, No. 216

Calculated total DFT energy (no corrections) (eV per cell), listed in the same order as above: -15.70; -7.60; -17.95; -15.54